The following is a DFT calculation (PBE with a Hubbard U) of a geometry-optimized Nd2CoRuO8 structure.

The structure in POSCAR format:
```
Nd2CoRuO8
1.0
4.233 0.000 0.000
0.625 5.253 0.000
0.420 0.831 6.867
Nd Co Ru O
2 1 1 8
direct
0.192 0.018 0.238 Nd
0.808 0.982 0.762 Nd
0.500 0.500 0.000 Co
0.500 0.500 0.500 Ru
0.189 0.767 0.549 O
0.280 0.253 0.651 O
0.290 0.821 0.946 O
0.295 0.462 0.251 O
0.705 0.538 0.749 O
0.710 0.179 0.054 O
0.720 0.747 0.349 O
0.811 0.233 0.451 O
```

Computed properties:
Energy in eV per atom: -7.084